Here is an optimized crystal structure of TaVO2 from Alexandria via LeMat-Bulk. Energies are from PBE+U.

The structure in extended XYZ format:
```
4
Lattice="0.0000 2.7463 2.7463 2.7463 0.0000 2.7463 2.7463 2.7463 0.0000" Properties=species:S:1:pos:R:3 pbc="T T T"
O 1.3732 1.3732 1.3732
O 4.1195 4.1195 4.1195
Ta 2.7463 2.7463 2.7463
V 0.0000 0.0000 0.0000
```

Calculated values
**Relative energy among the computed polymorphs**: 3.92 eV/f.u.
**Theoretical density**: 10.58 g cm⁻³
**Spin magnetization**: 0.495 μB per atom
**Symmetry**: No. 225
**V**: 10.36 Å³ per atom